*one*
A relaxed Li2RuRh crystal, computed with PBE.

The structure belongs to space group I4/mmm (No. 139); the cell edges are 3.5868, 3.5868 and 8.5743 Å and the angles 90.00°, 90.00° and 90.00°. The inequivalent atoms are Li at (0.0000, 0.5000, 0.2500), Ru at (0.0000, 0.0000, 0.0000) and Rh at (0.0000, 0.0000, 0.5000).

---

*two*
A relaxed Li2RuRh crystal, computed with PBE.

The structure belongs to space group P4mm (No. 99); the cell edges are 2.7840, 2.7840 and 7.3028 Å and the angles 90.00°, 90.00° and 90.00°. The inequivalent atoms are Li at (0.0000, 0.0000, 0.0000), Li at (0.5000, 0.5000, 0.2756), Ru at (0.5000, 0.5000, 0.7497) and Rh at (0.0000, 0.0000, 0.5175).

---

*three*
A relaxed Li2RuRh crystal, computed with PBE.

The structure belongs to space group Cmmm (No. 65); the cell edges are 5.0137, 8.5245 and 2.5723 Å and the angles 90.00°, 90.00° and 90.00°. The inequivalent atoms are Li at (0.2500, 0.2500, 0.0000), Ru at (0.0000, 0.0000, 0.5000) and Rh at (0.0000, 0.5000, 0.5000).

---

Winner for stability: *two*

---

*one*
A relaxed Li2RuRh crystal, computed with PBE.

The structure belongs to space group R-3m (No. 166, hexagonal axes); the cell edges are 2.6498, 2.6498 and 26.7823 Å and the angles 90.00°, 90.00° and 120.00°. The inequivalent atoms are Li at (0.0000, 0.0000, 0.2486), Ru at (0.0000, 0.0000, 0.0000) and Rh at (0.0000, 0.0000, 0.5000).

---

*two*
A relaxed Li2RuRh crystal, computed with PBE.

The structure belongs to space group Fm-3m (No. 225); the cell edges are 5.8290, 5.8290 and 5.8290 Å and the angles 90.00°, 90.00° and 90.00°. The inequivalent atoms are Li at (0.2500, 0.2500, 0.2500), Ru at (0.0000, 0.0000, 0.0000) and Rh at (0.0000, 0.0000, 0.5000).

---

Winner for stability: *one*

---

*one*
A relaxed LiRu3Rh crystal, computed with PBE.

The structure belongs to space group Pm-3m (No. 221); the cell edges are 4.0593, 4.0593 and 4.0593 Å and the angles 90.00°, 90.00° and 90.00°. The inequivalent atoms are Li at (0.0000, 0.0000, 0.0000), Ru at (0.0000, 0.0000, 0.5000) and Rh at (0.5000, 0.5000, 0.5000).

---

*two*
A relaxed LiRu3Rh crystal, computed with PBE.

The structure belongs to space group Pm-3m (No. 221); the cell edges are 4.7038, 4.7038 and 4.7038 Å and the angles 90.00°, 90.00° and 90.00°. The inequivalent atoms are Li at (0.0000, 0.0000, 0.0000), Ru at (0.0000, 0.5000, 0.5000) and Rh at (0.5000, 0.5000, 0.5000).

---

Winner for stability: *one*

---

*one*
A relaxed Li2RuRh2 crystal, computed with PBE.

The structure belongs to space group P4/mbm (No. 127); the cell edges are 6.6766, 6.6766 and 2.7826 Å and the angles 90.00°, 90.00° and 90.00°. The inequivalent atoms are Li at (0.1128, 0.3872, 0.0000), Ru at (0.0000, 0.0000, 0.0000) and Rh at (0.1891, 0.6891, 0.5000).

---

*two*
A relaxed Li2RuRh2 crystal, computed with PBE.

The structure belongs to space group P4/mbm (No. 127); the cell edges are 6.8806, 6.8806 and 2.7614 Å and the angles 90.00°, 90.00° and 90.00°. The inequivalent atoms are Li at (0.1637, 0.3363, 0.0000), Ru at (0.0000, 0.0000, 0.5000) and Rh at (0.1361, 0.6361, 0.5000).

---

Winner for stability: *one*